Record 1
Density functional theory data (PBE-GGA) for NiIr2Rh after structural relaxation.

Structure (POSCAR):
```
NiIr2Rh
1.0
2.645 -4.583 0.000
2.645 4.583 0.000
-1.347 0.000 2.326
Ni Ir Rh
1 2 1
Cartesian
0.000 0.000 0.000
0.649 2.291 1.163
0.649 -2.291 1.163
2.645 0.000 0.000
```

symmetry: C2/m (12)
volume: 14.10 Å³ per atom
E_tot: -0.54741 Ry per atom



Record 2
Density functional theory data (PBE-GGA) for Th2GaSe after structural relaxation.

Structure (POSCAR):
```
Th2GaSe
1.0
2.096 1.210 7.427
-2.096 1.210 7.427
0.000 -2.421 7.427
Th Ga Se
2 1 1
Cartesian
0.000 0.000 0.000
0.000 0.000 3.990
0.000 0.000 13.160
0.000 0.000 9.388
```

symmetry: R3m (160)
raw formation energy: -0.86 eV per atom
polymorph energy (0 for the lowest one): 0.43 eV/f.u.
volume: 28.27 Å³ per atom
E_tot: -0.45563 Ry per atom



Record 3
Density functional theory data (PBE-GGA) for LaCe3Pr2Sb6 after structural relaxation.

Structure (POSCAR):
```
LaCe3Pr2Sb6
1.0
7.789 0.000 0.000
-3.894 6.745 0.000
0.000 0.000 7.858
La Ce Pr Sb
1 3 2 6
Cartesian
0.000 0.000 0.000
0.000 0.000 3.929
0.000 4.497 3.929
3.894 2.248 3.929
0.000 4.497 0.000
3.894 2.248 0.000
-1.305 2.260 2.006
-2.589 4.485 5.852
2.610 0.000 2.006
1.305 2.260 5.852
5.179 0.000 5.852
2.589 4.485 2.006
```

symmetry: P-31m (162)
raw formation energy: -0.99 eV per atom
volume: 34.40 Å³ per atom
E_tot: -0.42196 Ry per atom



Record 4
Density functional theory data (PBE-GGA) for CaMg3Zn after structural relaxation.

Structure (POSCAR):
```
CaMg3Zn
1.0
2.773 -8.264 0.000
2.773 8.264 0.000
0.000 0.000 6.028
Ca Mg Zn
2 6 2
Cartesian
0.000 0.000 0.000
0.000 0.000 3.014
1.397 2.730 4.521
2.773 5.426 4.521
1.397 -2.730 1.507
4.149 2.730 4.521
2.773 -5.426 1.507
4.149 -2.730 1.507
2.773 1.468 1.507
2.773 -1.468 4.521
```

symmetry: Cmcm (63)
polymorph energy (0 for the lowest one): 1.84 eV/f.u.
volume: 27.63 Å³ per atom
E_tot: -0.10006 Ry per atom



Record 5
Density functional theory data (PBE-GGA) for SrNb2Ge2 after structural relaxation.

Structure (POSCAR):
```
SrNb2Ge2
1.0
-2.090 2.090 6.149
2.090 -2.090 6.149
2.090 2.090 -6.149
Sr Nb Ge
1 2 2
Cartesian
0.000 0.000 0.000
2.090 0.000 3.074
0.000 2.090 3.074
0.000 0.000 4.799
0.000 0.000 7.498
```

symmetry: I4/mmm (139)
polymorph energy (0 for the lowest one): 0.00 eV/f.u.
volume: 21.48 Å³ per atom
E_tot: -0.48553 Ry per atom



Record 6
Density functional theory data (PBE-GGA) for Sr2LiAc after structural relaxation.

Structure (POSCAR):
```
Sr2LiAc
1.0
0.000 4.474 4.474
4.474 0.000 4.474
4.474 4.474 0.000
Sr Li Ac
2 1 1
Cartesian
2.237 2.237 2.237
6.711 6.711 6.711
0.000 0.000 0.000
4.474 4.474 4.474
```

symmetry: Fm-3m (225)
polymorph energy (0 for the lowest one): 0.60 eV/f.u.
volume: 44.79 Å³ per atom
E_tot: -0.15603 Ry per atom



Record 7
Density functional theory data (PBE-GGA) for Ac4NdPt5 after structural relaxation.

Structure (POSCAR):
```
Ac4NdPt5
1.0
-2.177 2.177 15.404
2.177 -2.177 15.404
2.177 2.177 -15.404
Ac Nd Pt
4 1 5
Cartesian
0.000 0.000 3.028
0.000 0.000 9.267
0.000 0.000 21.541
0.000 0.000 27.781
0.000 0.000 15.404
0.000 0.000 0.000
0.000 0.000 6.153
0.000 0.000 12.398
0.000 0.000 18.411
0.000 0.000 24.656
```

symmetry: I4/mmm (139)
volume: 29.19 Å³ per atom
E_tot: -0.46200 Ry per atom



Record 8
Density functional theory data (PBE-GGA) for Sm6ThMg after structural relaxation.

Structure (POSCAR):
```
Sm6ThMg
1.0
5.072 0.000 0.000
0.000 5.072 0.000
0.000 0.000 10.037
Sm Th Mg
6 1 1
Cartesian
0.000 0.000 0.000
0.000 0.000 5.018
0.000 2.536 2.506
0.000 2.536 7.531
2.536 0.000 2.506
2.536 0.000 7.531
2.536 2.536 0.000
2.536 2.536 5.018
```

symmetry: P4/mmm (123)
polymorph energy (0 for the lowest one): 0.00 eV/f.u.
volume: 32.28 Å³ per atom
E_tot: -0.34056 Ry per atom



Record 9
Density functional theory data (PBE-GGA) for In2FeCu after structural relaxation.

Structure (POSCAR):
```
In2FeCu
1.0
3.090 -3.552 0.000
3.090 3.552 0.000
0.000 0.000 3.068
In Fe Cu
2 1 1
Cartesian
1.545 1.776 0.000
1.545 -1.776 0.000
0.000 0.000 1.534
3.090 0.000 1.534
```

symmetry: Cmmm (65)
polymorph energy (0 for the lowest one): 0.02 eV/f.u.
volume: 16.83 Å³ per atom
E_tot: -0.31547 Ry per atom



Record 10
Density functional theory data (PBE-GGA) for Sr7Sb2N2 after structural relaxation.

Structure (POSCAR):
```
Sr7Sb2N2
1.0
5.369 -4.416 0.000
5.369 4.416 0.000
-0.008 0.000 7.232
Sr Sb N
7 2 2
Cartesian
0.000 0.000 0.000
2.680 2.204 5.602
5.360 0.000 1.530
2.680 -2.204 5.602
8.049 2.204 1.630
5.369 0.000 5.702
8.049 -2.204 1.630
5.365 2.533 3.616
5.365 -2.533 3.616
3.005 0.000 0.000
7.724 0.000 7.231
```

symmetry: C2/m (12)
raw formation energy: -0.47 eV per atom
volume: 31.17 Å³ per atom
E_tot: -0.27989 Ry per atom



Record 11
Density functional theory data (PBE-GGA) for LaPbC2O6 after structural relaxation.

Structure (POSCAR):
```
LaPbC2O6
1.0
5.035 -4.489 0.000
5.035 4.489 0.000
-3.000 0.000 6.513
La Pb C O
2 2 4 12
Cartesian
2.784 3.601 4.885
4.284 -3.601 1.628
4.284 0.410 1.628
2.784 -0.410 4.885
-0.088 1.234 5.047
1.412 -1.234 1.791
5.657 1.234 4.722
7.157 -1.234 1.466
2.975 3.309 2.472
1.022 1.875 4.935
-0.429 0.571 6.102
5.593 3.309 0.785
1.071 -0.571 2.846
4.547 1.875 4.835
2.522 -1.875 1.678
5.997 0.571 3.667
1.475 -3.309 5.728
7.497 -0.571 0.411
6.047 -1.875 1.578
4.093 -3.309 4.041
```

symmetry: C2/c (15)
raw formation energy: -1.81 eV per atom
volume: 14.72 Å³ per atom
E_tot: -0.55101 Ry per atom



Record 12
Density functional theory data (PBE-GGA) for PaInHg after structural relaxation.

Structure (POSCAR):
```
PaInHg
1.0
1.645 -8.166 0.000
1.645 8.166 0.000
0.000 0.000 5.522
Pa In Hg
2 2 2
Cartesian
1.645 4.129 4.142
1.645 -4.129 1.381
1.645 6.858 1.381
1.645 -6.858 4.142
1.645 1.289 1.381
1.645 -1.289 4.142
```

symmetry: Cmcm (63)
polymorph energy (0 for the lowest one): 0.07 eV/f.u.
volume: 24.72 Å³ per atom
E_tot: -0.30479 Ry per atom